# MgIn3Sn3 (PBE, optimized geometry)
data_MgIn3Sn3
_chemical_formula_sum 'Mg2 In6 Sn6'
_symmetry_space_group_name_H-M 'P 1'
_symmetry_Int_Tables_number 1
_cell_length_a 8.1300
_cell_length_b 8.1300
_cell_length_c 8.1300
_cell_angle_alpha 90.00
_cell_angle_beta 90.00
_cell_angle_gamma 90.00
loop_
_symmetry_equiv_pos_as_xyz
'x,y,z'
loop_
_atom_site_label
_atom_site_type_symbol
_atom_site_fract_x
_atom_site_fract_y
_atom_site_fract_z
_atom_site_occupancy
In1 In 0.0000 0.7500 0.5000 1
Sn1 Sn 0.7500 0.0000 0.5000 1
Sn2 Sn 0.2500 0.0000 0.5000 1
In2 In 0.5000 0.0000 0.2500 1
Sn3 Sn 0.0000 0.5000 0.7500 1
In3 In 0.2500 0.5000 0.0000 1
In4 In 0.5000 0.0000 0.7500 1
Mg1 Mg 0.0000 0.0000 0.0000 1
Sn4 Sn 0.5000 0.2500 0.0000 1
In5 In 0.7500 0.5000 0.0000 1
Sn5 Sn 0.5000 0.7500 0.0000 1
Sn6 Sn 0.0000 0.5000 0.2500 1
In6 In 0.0000 0.2500 0.5000 1
Mg2 Mg 0.5000 0.5000 0.5000 1
# Excess energy over the best structure of this formula in the dataset   375 meV/atom
# Total moment   0.0 μB/f.u.
# ρ   4.48 g/cm3
# ΔE_f   379.9 meV/atom

# Mg6InSn (PBE, optimized geometry)
data_Mg6InSn
_chemical_formula_sum 'Mg6 In1 Sn1'
_symmetry_space_group_name_H-M 'P 1'
_symmetry_Int_Tables_number 1
_cell_length_a 4.5065
_cell_length_b 4.5065
_cell_length_c 8.9504
_cell_angle_alpha 90.00
_cell_angle_beta 90.00
_cell_angle_gamma 90.00
loop_
_symmetry_equiv_pos_as_xyz
'x,y,z'
loop_
_atom_site_label
_atom_site_type_symbol
_atom_site_fract_x
_atom_site_fract_y
_atom_site_fract_z
_atom_site_occupancy
Mg1 Mg 0.5000 0.0000 0.7508 1
Sn1 Sn 0.0000 0.0000 0.5000 1
Mg2 Mg 0.5000 0.5000 0.0000 1
Mg3 Mg 0.0000 0.5000 0.7508 1
Mg4 Mg 0.0000 0.5000 0.2492 1
In1 In 0.0000 0.0000 0.0000 1
Mg5 Mg 0.5000 0.5000 0.5000 1
Mg6 Mg 0.5000 0.0000 0.2492 1
# Total moment   0.0 μB/f.u.
# ρ   3.47 g/cm3
# ΔE_f   -102.4 meV/atom

# Mg2In6Sn (PBE, optimized geometry)
data_Mg2In6Sn
_chemical_formula_sum 'Mg2 In6 Sn1'
_symmetry_space_group_name_H-M 'P 1'
_symmetry_Int_Tables_number 1
_cell_length_a 3.4107
_cell_length_b 7.6304
_cell_length_c 9.7356
_cell_angle_alpha 75.93
_cell_angle_beta 79.91
_cell_angle_gamma 77.09
loop_
_symmetry_equiv_pos_as_xyz
'x,y,z'
loop_
_atom_site_label
_atom_site_type_symbol
_atom_site_fract_x
_atom_site_fract_y
_atom_site_fract_z
_atom_site_occupancy
In1 In 0.2396 0.6317 0.8892 1
In2 In 0.7604 0.3683 0.1108 1
In3 In 0.9603 0.3700 0.7095 1
Sn1 Sn 0.0000 0.0000 0.0000 1
Mg1 Mg 0.3641 0.0137 0.2580 1
In4 In 0.0397 0.6300 0.2905 1
In5 In 0.6605 0.2313 0.4476 1
In6 In 0.3395 0.7687 0.5524 1
Mg2 Mg 0.6359 0.9863 0.7420 1
# Excess energy over the best structure of this formula in the dataset   23 meV/atom
# Total moment   0.0 μB/f.u.
# ρ   5.98 g/cm3
# ΔE_f   1.4 meV/atom

# MgIn3Sn3 (PBE, optimized geometry)
data_MgIn3Sn3
_chemical_formula_sum 'Mg2 In6 Sn6'
_symmetry_space_group_name_H-M 'P 1'
_symmetry_Int_Tables_number 1
_cell_length_a 7.5054
_cell_length_b 7.5054
_cell_length_c 7.5054
_cell_angle_alpha 72.16
_cell_angle_beta 72.16
_cell_angle_gamma 72.16
loop_
_symmetry_equiv_pos_as_xyz
'x,y,z'
loop_
_atom_site_label
_atom_site_type_symbol
_atom_site_fract_x
_atom_site_fract_y
_atom_site_fract_z
_atom_site_occupancy
In1 In 0.5368 0.8241 0.3983 1
In2 In 0.4632 0.1759 0.6017 1
Sn1 Sn 0.8980 0.0336 0.3185 1
In3 In 0.8241 0.3983 0.5368 1
Sn2 Sn 0.1020 0.9664 0.6815 1
Sn3 Sn 0.0336 0.3185 0.8980 1
Mg1 Mg 0.2455 0.2455 0.2455 1
Mg2 Mg 0.7545 0.7545 0.7545 1
In4 In 0.3983 0.5368 0.8241 1
Sn4 Sn 0.9664 0.6815 0.1020 1
Sn5 Sn 0.3185 0.8980 0.0336 1
In5 In 0.6017 0.4632 0.1759 1
In6 In 0.1759 0.6017 0.4632 1
Sn6 Sn 0.6815 0.1020 0.9664 1
# Excess energy over the best structure of this formula in the dataset   0 meV/atom
# Total moment   0.0 μB/f.u.
# ρ   6.46 g/cm3
# ΔE_f   4.8 meV/atom

# Mg5In2Sn2 (PBE, optimized geometry)
data_Mg5In2Sn2
_chemical_formula_sum 'Mg5 In2 Sn2'
_symmetry_space_group_name_H-M 'P 1'
_symmetry_Int_Tables_number 1
_cell_length_a 4.5451
_cell_length_b 9.4274
_cell_length_c 6.3759
_cell_angle_alpha 121.73
_cell_angle_beta 90.00
_cell_angle_gamma 103.95
loop_
_symmetry_equiv_pos_as_xyz
'x,y,z'
loop_
_atom_site_label
_atom_site_type_symbol
_atom_site_fract_x
_atom_site_fract_y
_atom_site_fract_z
_atom_site_occupancy
Mg1 Mg 0.4088 0.8175 0.1540 1
In1 In 0.8070 0.6141 0.2120 1
Sn1 Sn 0.3976 0.7951 0.6292 1
In2 In 0.1930 0.3859 0.7880 1
Mg2 Mg 0.0000 0.0000 0.0000 1
Mg3 Mg 0.5912 0.1825 0.8460 1
Mg4 Mg 0.1987 0.3974 0.2827 1
Mg5 Mg 0.8013 0.6026 0.7173 1
Sn2 Sn 0.6024 0.2049 0.3708 1
# Total moment   0.0 μB/f.u.
# ρ   4.39 g/cm3
# ΔE_f   -74.9 meV/atom

# MgIn4Sn (PBE, optimized geometry)
data_MgIn4Sn
_chemical_formula_sum 'Mg1 In4 Sn1'
_symmetry_space_group_name_H-M 'P 1'
_symmetry_Int_Tables_number 1
_cell_length_a 4.9446
_cell_length_b 4.9446
_cell_length_c 7.2522
_cell_angle_alpha 89.99
_cell_angle_beta 89.98
_cell_angle_gamma 90.00
loop_
_symmetry_equiv_pos_as_xyz
'x,y,z'
loop_
_atom_site_label
_atom_site_type_symbol
_atom_site_fract_x
_atom_site_fract_y
_atom_site_fract_z
_atom_site_occupancy
In1 In 0.0013 0.4972 0.7398 1
Mg1 Mg 0.0012 0.9974 0.4983 1
In2 In 0.0012 0.4972 0.2565 1
Sn1 Sn 0.5013 0.4973 0.9981 1
In3 In 0.5013 0.9974 0.7398 1
In4 In 0.5014 0.9972 0.2564 1
# Excess energy over the best structure of this formula in the dataset   60 meV/atom
# Total moment   0.0 μB/f.u.
# ρ   5.64 g/cm3
# ΔE_f   53.9 meV/atom

# Mg6In2Sn (PBE, optimized geometry)
data_Mg6In2Sn
_chemical_formula_sum 'Mg6 In2 Sn1'
_symmetry_space_group_name_H-M 'P 1'
_symmetry_Int_Tables_number 1
_cell_length_a 4.8992
_cell_length_b 8.6811
_cell_length_c 8.6816
_cell_angle_alpha 41.37
_cell_angle_beta 73.61
_cell_angle_gamma 73.61
loop_
_symmetry_equiv_pos_as_xyz
'x,y,z'
loop_
_atom_site_label
_atom_site_type_symbol
_atom_site_fract_x
_atom_site_fract_y
_atom_site_fract_z
_atom_site_occupancy
Mg1 Mg 0.0000 0.7606 0.2394 1
Mg2 Mg 0.8067 0.9391 0.4474 1
In1 In 0.6135 0.8865 0.8865 1
Sn1 Sn 0.5000 0.5000 0.5000 1
Mg3 Mg 0.8067 0.4474 0.9391 1
Mg4 Mg 0.0000 0.2394 0.7606 1
Mg5 Mg 0.1933 0.0609 0.5526 1
In2 In 0.3865 0.1135 0.1135 1
Mg6 Mg 0.1933 0.5526 0.0609 1
# Excess energy over the best structure of this formula in the dataset   208 meV/atom
# Total moment   0.0 μB/f.u.
# ρ   3.53 g/cm3
# ΔE_f   120.9 meV/atom

# Mg5In8Sn (PBE, optimized geometry)
data_Mg5In8Sn
_chemical_formula_sum 'Mg5 In8 Sn1'
_symmetry_space_group_name_H-M 'P 1'
_symmetry_Int_Tables_number 1
_cell_length_a 7.7793
_cell_length_b 7.7793
_cell_length_c 7.7793
_cell_angle_alpha 109.09
_cell_angle_beta 110.24
_cell_angle_gamma 109.09
loop_
_symmetry_equiv_pos_as_xyz
'x,y,z'
loop_
_atom_site_label
_atom_site_type_symbol
_atom_site_fract_x
_atom_site_fract_y
_atom_site_fract_z
_atom_site_occupancy
Mg1 Mg 0.2808 0.0709 0.9743 1
In1 In 0.6450 0.4005 0.9180 1
In2 In 0.5767 0.9377 0.8697 1
In3 In 0.7555 0.2730 0.3550 1
Mg2 Mg 0.0257 0.3065 0.0966 1
In4 In 0.3609 0.2930 0.4233 1
In5 In 0.9320 0.0623 0.6391 1
In6 In 0.5175 0.5995 0.2445 1
Mg3 Mg 0.9034 0.9291 0.2099 1
Sn1 Sn 0.2500 0.5000 0.7500 1
In7 In 0.0820 0.7270 0.4825 1
In8 In 0.1303 0.7070 0.0680 1
Mg4 Mg 0.7901 0.6935 0.7192 1
Mg5 Mg 0.5000 0.0000 0.5000 1
# Total moment   0.0 μB/f.u.
# ρ   5.31 g/cm3
# ΔE_f   8.8 meV/atom

# MgInSn4 (PBE, optimized geometry)
data_MgInSn4
_chemical_formula_sum 'Mg1 In1 Sn4'
_symmetry_space_group_name_H-M 'P 1'
_symmetry_Int_Tables_number 1
_cell_length_a 6.2368
_cell_length_b 6.2368
_cell_length_c 6.2368
_cell_angle_alpha 60.00
_cell_angle_beta 60.00
_cell_angle_gamma 60.00
loop_
_symmetry_equiv_pos_as_xyz
'x,y,z'
loop_
_atom_site_label
_atom_site_type_symbol
_atom_site_fract_x
_atom_site_fract_y
_atom_site_fract_z
_atom_site_occupancy
Sn1 Sn 0.6250 0.6250 0.1249 1
Sn2 Sn 0.6250 0.1249 0.6250 1
Sn3 Sn 0.6250 0.6250 0.6250 1
Mg1 Mg 0.0000 0.0000 0.0000 1
In1 In 0.2500 0.2500 0.2500 1
Sn4 Sn 0.1249 0.6250 0.6250 1
# Excess energy over the best structure of this formula in the dataset   100 meV/atom
# Total moment   0.0 μB/f.u.
# ρ   5.94 g/cm3
# ΔE_f   109.4 meV/atom

# Mg4In3Sn (PBE, optimized geometry)
data_Mg4In3Sn
_chemical_formula_sum 'Mg8 In6 Sn2'
_symmetry_space_group_name_H-M 'P 1'
_symmetry_Int_Tables_number 1
_cell_length_a 5.4271
_cell_length_b 6.9189
_cell_length_c 10.1122
_cell_angle_alpha 90.00
_cell_angle_beta 90.00
_cell_angle_gamma 90.00
loop_
_symmetry_equiv_pos_as_xyz
'x,y,z'
loop_
_atom_site_label
_atom_site_type_symbol
_atom_site_fract_x
_atom_site_fract_y
_atom_site_fract_z
_atom_site_occupancy
Mg1 Mg 0.5000 0.2493 0.0000 1
Mg2 Mg 0.5000 0.7507 0.0000 1
Mg3 Mg 0.1217 0.2500 0.7500 1
Mg4 Mg 0.5000 0.7507 0.5000 1
Mg5 Mg 0.8783 0.7500 0.2500 1
Mg6 Mg 0.1217 0.7500 0.7500 1
In1 In 0.3834 0.0000 0.2500 1
In2 In 0.6166 0.0000 0.7500 1
Sn1 Sn 0.0000 0.5000 0.0000 1
In3 In 0.0000 0.0000 0.0000 1
In4 In 0.0000 0.0000 0.5000 1
Mg7 Mg 0.8783 0.2500 0.2500 1
Mg8 Mg 0.5000 0.2493 0.5000 1
In5 In 0.3886 0.5000 0.2500 1
In6 In 0.6114 0.5000 0.7500 1
Sn2 Sn 0.0000 0.5000 0.5000 1
# Excess energy over the best structure of this formula in the dataset   0 meV/atom
# Total moment   0.0 μB/f.u.
# ρ   4.90 g/cm3
# ΔE_f   -87.3 meV/atom

# Mg4In3Sn (PBE, optimized geometry)
data_Mg4In3Sn
_chemical_formula_sum 'Mg8 In6 Sn2'
_symmetry_space_group_name_H-M 'P 1'
_symmetry_Int_Tables_number 1
_cell_length_a 5.6374
_cell_length_b 6.1945
_cell_length_c 11.1377
_cell_angle_alpha 90.00
_cell_angle_beta 90.00
_cell_angle_gamma 90.00
loop_
_symmetry_equiv_pos_as_xyz
'x,y,z'
loop_
_atom_site_label
_atom_site_type_symbol
_atom_site_fract_x
_atom_site_fract_y
_atom_site_fract_z
_atom_site_occupancy
In1 In 0.5189 0.1360 0.2365 1
Mg1 Mg 0.8523 0.1136 0.5000 1
In2 In 0.0189 0.8640 0.2635 1
Sn1 Sn 0.3785 0.8577 0.5000 1
Sn2 Sn 0.8785 0.1423 0.0000 1
In3 In 0.5189 0.1360 0.7635 1
In4 In 0.3456 0.3601 0.5000 1
Mg2 Mg 0.5209 0.6332 0.7486 1
Mg3 Mg 0.3592 0.3919 0.0000 1
In5 In 0.0189 0.8640 0.7365 1
Mg4 Mg 0.3523 0.8864 0.0000 1
Mg5 Mg 0.8592 0.6081 0.5000 1
Mg6 Mg 0.0209 0.3668 0.2486 1
Mg7 Mg 0.5209 0.6332 0.2514 1
In6 In 0.8456 0.6399 0.0000 1
Mg8 Mg 0.0209 0.3668 0.7514 1
# Excess energy over the best structure of this formula in the dataset   45 meV/atom
# Total moment   0.0 μB/f.u.
# ρ   4.78 g/cm3
# ΔE_f   -42.7 meV/atom